i) # Cs2HgN

A relaxed Cs2HgN crystal (PBE-GGA, Alexandria via LeMat-Bulk).

The space group is I-42d (No. 122) and the conventional cell measures 9.163, 9.163 and 8.364 Å, with angles of 90.00, 90.00 and 90.00 degrees. The inequivalent atoms are Cs at (0.149, 0.750, 0.125), Hg at (0.000, 0.000, 0.500) and N at (0.000, 0.000, 0.000).

ii) # Cs2HgN

A relaxed Cs2HgN crystal (PBE-GGA, Alexandria via LeMat-Bulk).

The space group is Fm-3m (No. 225) and the conventional cell measures 8.334, 8.334 and 8.334 Å, with angles of 90.00, 90.00 and 90.00 degrees. The inequivalent atoms are Cs at (0.250, 0.250, 0.250), Hg at (0.000, 0.000, 0.000) and N at (0.000, 0.000, 0.500).

Stability comparison, relative energies in eV/atom: i) 0.000; ii) 0.117

i) # CsHg3N

A relaxed CsHg3N crystal (PBE-GGA, Alexandria via LeMat-Bulk).

The space group is Pm-3m (No. 221) and the conventional cell measures 5.251, 5.251 and 5.251 Å, with angles of 90.00, 90.00 and 90.00 degrees. The inequivalent atoms are Cs at (0.000, 0.000, 0.000), Hg at (0.000, 0.500, 0.500) and N at (0.500, 0.500, 0.500).

ii) # CsHg3N

A relaxed CsHg3N crystal (PBE-GGA, Alexandria via LeMat-Bulk).

The space group is Pm-3m (No. 221) and the conventional cell measures 7.741, 7.741 and 7.741 Å, with angles of 90.00, 90.00 and 90.00 degrees. The inequivalent atoms are Cs at (0.000, 0.000, 0.000), Hg at (0.000, 0.000, 0.500) and N at (0.500, 0.500, 0.500).

Stability comparison, relative energies in eV/atom: i) 0.000; ii) 0.441

i) # CsHg2N2

A relaxed CsHg2N2 crystal (PBE-GGA, Alexandria via LeMat-Bulk).

The space group is C2/m (No. 12) and the conventional cell measures 13.917, 3.964 and 5.085 Å, with angles of 90.00, 108.90 and 90.00 degrees. The inequivalent atoms are Cs at (0.000, 0.000, 0.000), Hg at (0.201, 0.000, 0.719) and N at (0.159, 0.500, 0.767).

ii) # CsHg2N2

A relaxed CsHg2N2 crystal (PBE-GGA, Alexandria via LeMat-Bulk).

The space group is I4/mmm (No. 139) and the conventional cell measures 4.548, 4.548 and 11.987 Å, with angles of 90.00, 90.00 and 90.00 degrees. The inequivalent atoms are Cs at (0.000, 0.000, 0.000), Hg at (0.000, 0.000, 0.292) and N at (0.000, 0.500, 0.250).

Stability comparison, relative energies in eV/atom: i) 0.000; ii) 0.019

i) # Cs2HgPtN

A relaxed Cs2HgPtN crystal (PBE-GGA, Alexandria via LeMat-Bulk).

The space group is P4/mmm (No. 123) and the conventional cell measures 6.721, 6.721 and 3.760 Å, with angles of 90.00, 90.00 and 90.00 degrees. The inequivalent atoms are Cs at (0.000, 0.500, 0.000), Hg at (0.000, 0.000, 0.500), Pt at (0.500, 0.500, 0.500) and N at (0.500, 0.500, 0.000).

ii) # Cs2HgPtN

A relaxed Cs2HgPtN crystal (PBE-GGA, Alexandria via LeMat-Bulk).

The space group is P4/mmm (No. 123) and the conventional cell measures 7.073, 7.073 and 3.746 Å, with angles of 90.00, 90.00 and 90.00 degrees. The inequivalent atoms are Cs at (0.000, 0.500, 0.000), Hg at (0.000, 0.000, 0.500), Pt at (0.500, 0.500, 0.000) and N at (0.500, 0.500, 0.500).

Stability comparison, relative energies in eV/atom: i) 0.000; ii) 0.083

i) # CsHgSeN2

A relaxed CsHgSeN2 crystal (PBE-GGA, Alexandria via LeMat-Bulk).

The space group is P4/mmm (No. 123) and the conventional cell measures 4.433, 4.433 and 7.458 Å, with angles of 90.00, 90.00 and 90.00 degrees. The inequivalent atoms are Cs at (0.000, 0.000, 0.000), Hg at (0.500, 0.500, 0.500), Se at (0.000, 0.000, 0.500) and N at (0.000, 0.500, 0.000).

ii) # CsHgSeN2

A relaxed CsHgSeN2 crystal (PBE-GGA, Alexandria via LeMat-Bulk).

The space group is P4/mmm (No. 123) and the conventional cell measures 4.976, 4.976 and 5.436 Å, with angles of 90.00, 90.00 and 90.00 degrees. The inequivalent atoms are Cs at (0.000, 0.000, 0.000), Hg at (0.500, 0.500, 0.500), Se at (0.500, 0.500, 0.000) and N at (0.000, 0.500, 0.500).

Stability comparison, relative energies in eV/atom: i) 0.763; ii) 0.000

i) # CsTcHgN2

A relaxed CsTcHgN2 crystal (PBE-GGA, Alexandria via LeMat-Bulk).

The space group is P4/mmm (No. 123) and the conventional cell measures 4.145, 4.145 and 6.297 Å, with angles of 90.00, 90.00 and 90.00 degrees. The inequivalent atoms are Cs at (0.000, 0.000, 0.000), Tc at (0.000, 0.000, 0.500), Hg at (0.500, 0.500, 0.000) and N at (0.000, 0.500, 0.500).

ii) # CsTcHgN2

A relaxed CsTcHgN2 crystal (PBE-GGA, Alexandria via LeMat-Bulk).

The space group is P4/mmm (No. 123) and the conventional cell measures 4.609, 4.609 and 5.931 Å, with angles of 90.00, 90.00 and 90.00 degrees. The inequivalent atoms are Cs at (0.000, 0.000, 0.000), Tc at (0.000, 0.000, 0.500), Hg at (0.500, 0.500, 0.500) and N at (0.000, 0.500, 0.000).

Stability comparison, relative energies in eV/atom: i) 0.000; ii) 1.793

i) # CsHgTeN2

A relaxed CsHgTeN2 crystal (PBE-GGA, Alexandria via LeMat-Bulk).

The space group is P4/mmm (No. 123) and the conventional cell measures 5.101, 5.101 and 5.779 Å, with angles of 90.00, 90.00 and 90.00 degrees. The inequivalent atoms are Cs at (0.000, 0.000, 0.000), Hg at (0.500, 0.500, 0.500), Te at (0.500, 0.500, 0.000) and N at (0.000, 0.500, 0.500).

ii) # CsHgTeN2

A relaxed CsHgTeN2 crystal (PBE-GGA, Alexandria via LeMat-Bulk).

The space group is P4/mmm (No. 123) and the conventional cell measures 4.492, 4.492 and 7.965 Å, with angles of 90.00, 90.00 and 90.00 degrees. The inequivalent atoms are Cs at (0.000, 0.000, 0.000), Hg at (0.500, 0.500, 0.500), Te at (0.000, 0.000, 0.500) and N at (0.000, 0.500, 0.000).

Stability comparison, relative energies in eV/atom: i) 0.000; ii) 0.613

i) # Cs2NaHg2

A relaxed Cs2NaHg2 crystal (PBE-GGA, Alexandria via LeMat-Bulk).

The space group is P4/mbm (No. 127) and the conventional cell measures 10.967, 10.967 and 4.266 Å, with angles of 90.00, 90.00 and 90.00 degrees. The inequivalent atoms are Cs at (0.179, 0.321, 0.000), Na at (0.000, 0.000, 0.000) and Hg at (0.106, 0.606, 0.500).

ii) # Cs2NaHg2

A relaxed Cs2NaHg2 crystal (PBE-GGA, Alexandria via LeMat-Bulk).

The space group is P4/mbm (No. 127) and the conventional cell measures 9.276, 9.276 and 5.625 Å, with angles of 90.00, 90.00 and 90.00 degrees. The inequivalent atoms are Cs at (0.176, 0.324, 0.000), Na at (0.000, 0.000, 0.500) and Hg at (0.122, 0.622, 0.500).

iii) # Cs2NaHg2

A relaxed Cs2NaHg2 crystal (PBE-GGA, Alexandria via LeMat-Bulk).

The space group is C2/c (No. 15) and the conventional cell measures 12.992, 7.517 and 9.932 Å, with angles of 90.00, 102.65 and 90.00 degrees. The inequivalent atoms are Cs at (0.148, 0.136, 0.145), Na at (0.000, 0.395, 0.750) and Hg at (0.141, 0.361, 0.507).

iv) # Cs2NaHg2

A relaxed Cs2NaHg2 crystal (PBE-GGA, Alexandria via LeMat-Bulk).

The space group is I4/mmm (No. 139) and the conventional cell measures 7.487, 7.487 and 9.509 Å, with angles of 90.00, 90.00 and 90.00 degrees. The inequivalent atoms are Cs at (0.000, 0.500, 0.250), Na at (0.000, 0.000, 0.000) and Hg at (0.000, 0.000, 0.343).

Stability comparison, relative energies in eV/atom: i) 0.113; ii) 0.014; iii) 0.000; iv) 0.073